Entry from Alexandria via LeMat-Bulk: ReTcAg2 after structural relaxation (PBE).

Geometry as CIF:
```
data_ReTcAg2
_chemical_formula_sum 'Re3 Tc3 Ag6'
_space_group_name_H-M_alt 'R 3 m'
_space_group_IT_number 160
_space_group_name_Hall 'R 3 -2"'
_cell_length_a 2.7953
_cell_length_b 2.7953
_cell_length_c 28.8592
_cell_angle_alpha 90.00
_cell_angle_beta 90.00
_cell_angle_gamma 120.00
loop_
_atom_site_label
_atom_site_fract_x
_atom_site_fract_y
_atom_site_fract_z
Re1 0.0000 0.0000 0.0000
Tc1 0.0000 0.0000 0.2625
Ag1 0.0000 0.0000 0.5088
Ag2 0.0000 0.0000 0.7541
```

Values from the calculation:
Polymorph energy (0 for the lowest one): 0 meV/atom
Energy relative to the elements: 0.2067 eV per atom

Entry from Alexandria via LeMat-Bulk: ReTc2Ag after structural relaxation (PBE).

Geometry as CIF:
```
data_ReTc2Ag
_chemical_formula_sum 'Re3 Tc6 Ag3'
_space_group_name_H-M_alt 'R -3 m'
_space_group_IT_number 166
_space_group_name_Hall '-R 3 2"'
_cell_length_a 2.7652
_cell_length_b 2.7652
_cell_length_c 28.0269
_cell_angle_alpha 90.00
_cell_angle_beta 90.00
_cell_angle_gamma 120.00
loop_
_atom_site_label
_atom_site_fract_x
_atom_site_fract_y
_atom_site_fract_z
Re1 0.0000 0.0000 0.0000
Tc1 0.0000 0.0000 0.2552
Ag1 0.0000 0.0000 0.5000
```

Values from the calculation:
Polymorph energy (0 for the lowest one): 0 meV/atom
Energy relative to the elements: 0.2303 eV per atom

Entry from Alexandria via LeMat-Bulk: ReTc2Ag after structural relaxation (PBE).

Geometry as CIF:
```
data_ReTc2Ag
_chemical_formula_sum 'Re1 Tc2 Ag1'
_space_group_name_H-M_alt 'P 1 2/m 1'
_space_group_IT_number 10
_cell_length_a 2.775
_cell_length_b 3.951
_cell_length_c 5.662
_cell_angle_alpha 90.00
_cell_angle_beta 90.08
_cell_angle_gamma 90.00
loop_
_space_group_symop_operation_xyz
'x,y,z'
'-x,-y,-z'
'-x,y,-z'
'x,-y,z'
loop_
_atom_site_label
_atom_site_fract_x
_atom_site_fract_y
_atom_site_fract_z
Re1 0.000 0.000 0.000
Tc1 0.499 0.500 0.220
Ag1 0.000 0.000 0.500
```

Values from the calculation:
Polymorph energy (0 for the lowest one): 123 meV/atom
Energy relative to the elements: 0.3531 eV per atom

Entry from Alexandria via LeMat-Bulk: ReTc2Ag after structural relaxation (PBE).

Geometry as CIF:
```
data_ReTc2Ag
_chemical_formula_sum 'Re1 Tc2 Ag1'
_space_group_name_H-M_alt 'P 4/m m m'
_space_group_IT_number 123
_space_group_name_Hall '-P 4 2'
_cell_length_a 2.757
_cell_length_b 2.757
_cell_length_c 8.207
_cell_angle_alpha 90.00
_cell_angle_beta 90.00
_cell_angle_gamma 90.00
loop_
_atom_site_label
_atom_site_fract_x
_atom_site_fract_y
_atom_site_fract_z
Re1 0.000 0.000 0.000
Tc1 0.500 0.500 0.229
Ag1 0.000 0.000 0.500
```

Values from the calculation:
Polymorph energy (0 for the lowest one): 83 meV/atom
Energy relative to the elements: 0.3134 eV per atom

Entry from Alexandria via LeMat-Bulk: ReTcAg2 after structural relaxation (PBE).

Geometry as CIF:
```
data_ReTcAg2
_chemical_formula_sum 'Re1 Tc1 Ag2'
_space_group_name_H-M_alt 'P 4/m m m'
_space_group_IT_number 123
_space_group_name_Hall '-P 4 2'
_cell_length_a 2.640
_cell_length_b 2.640
_cell_length_c 9.208
_cell_angle_alpha 90.00
_cell_angle_beta 90.00
_cell_angle_gamma 90.00
loop_
_atom_site_label
_atom_site_fract_x
_atom_site_fract_y
_atom_site_fract_z
Re1 0.000 0.000 0.000
Tc1 0.000 0.000 0.500
Ag1 0.500 0.500 0.251
```

Values from the calculation:
Polymorph energy (0 for the lowest one): 488 meV/atom
Energy relative to the elements: 0.6944 eV per atom

Entry from Alexandria via LeMat-Bulk: ReTc2Ag after structural relaxation (PBE).

Geometry as CIF:
```
data_ReTc2Ag
_chemical_formula_sum 'Re1 Tc2 Ag1'
_space_group_name_H-M_alt 'P 1 2/m 1'
_space_group_IT_number 10
_cell_length_a 4.831
_cell_length_b 2.762
_cell_length_c 4.863
_cell_angle_alpha 90.00
_cell_angle_beta 110.70
_cell_angle_gamma 90.00
loop_
_space_group_symop_operation_xyz
'x,y,z'
'-x,-y,-z'
'-x,y,-z'
'x,-y,z'
loop_
_atom_site_label
_atom_site_fract_x
_atom_site_fract_y
_atom_site_fract_z
Re1 0.000 0.000 0.000
Tc1 0.500 0.000 0.500
Tc2 0.500 0.500 0.000
Ag1 0.000 0.500 0.500
```

Values from the calculation:
Polymorph energy (0 for the lowest one): 265 meV/atom
Energy relative to the elements: 0.4957 eV per atom